i | As3OsCl | PBE-GGA | optimized geometry

Geometry as POSCAR:
```
As3OsCl
1.0
4.6320 0.0000 0.0000
0.0000 4.6320 0.0000
0.0000 0.0000 4.6320
As Os Cl
3 1 1
Cartesian
0.0000 0.0000 2.3160
0.0000 2.3160 0.0000
2.3160 0.0000 0.0000
2.3160 2.3160 2.3160
0.0000 0.0000 0.0000
```

Properties
volume	99	Å³/cell
DOS at the Fermi energy	2.80	states/eV per cell

ii | As3OsCl | PBE-GGA | optimized geometry

Geometry as POSCAR:
```
As3OsCl
1.0
4.8450 0.0000 0.0000
0.0000 4.8450 0.0000
0.0000 0.0000 4.8450
As Os Cl
3 1 1
Cartesian
0.0000 0.0000 2.4225
0.0000 2.4225 0.0000
2.4225 0.0000 0.0000
0.0000 0.0000 0.0000
2.4225 2.4225 2.4225
```

Properties
volume	114	Å³/cell
DOS at the Fermi energy	5.95	states/eV per cell

Most stable structure, least stable structure: ii, i.

i | AsP2OsCl | PBE-GGA | optimized geometry

Geometry as POSCAR:
```
AsP2OsCl
1.0
4.5631 0.0000 0.0000
0.0000 4.5631 0.0000
0.0000 0.0000 4.8929
As P Os Cl
1 2 1 1
Cartesian
0.0000 0.0000 0.0000
0.0000 2.2815 2.4465
2.2815 0.0000 2.4465
2.2815 2.2815 2.4465
2.2815 2.2815 0.0000
```

Properties
volume	102	Å³/cell
DOS at the Fermi energy	4.60	states/eV per cell

ii | AsP2OsCl | PBE-GGA | optimized geometry

Geometry as POSCAR:
```
AsP2OsCl
1.0
4.7181 0.0000 0.0000
0.0000 4.7181 0.0000
0.0000 0.0000 4.5878
As P Os Cl
1 2 1 1
Cartesian
0.0000 0.0000 0.0000
0.0000 2.3591 0.0000
2.3591 0.0000 0.0000
2.3591 2.3591 2.2939
0.0000 0.0000 2.2939
```

Properties
volume	102	Å³/cell
DOS at the Fermi energy	4.68	states/eV per cell

Most stable structure, least stable structure: i, ii.

i | AsOsSe2Cl | PBE-GGA | optimized geometry

Geometry as POSCAR:
```
AsOsSe2Cl
1.0
4.9041 0.0000 0.0000
0.0000 4.9041 0.0000
0.0000 0.0000 4.8534
As Os Se Cl
1 1 2 1
Cartesian
0.0000 0.0000 0.0000
0.0000 0.0000 2.4267
0.0000 2.4521 2.4267
2.4521 0.0000 2.4267
2.4521 2.4521 0.0000
```

Properties
volume	117	Å³/cell
DOS at the Fermi energy	5.83	states/eV per cell

ii | AsOsSe2Cl | PBE-GGA | optimized geometry

Geometry as POSCAR:
```
AsOsSe2Cl
1.0
4.7761 0.0000 0.0000
0.0000 4.7761 0.0000
0.0000 0.0000 4.6394
As Os Se Cl
1 1 2 1
Cartesian
0.0000 0.0000 0.0000
2.3881 2.3881 0.0000
0.0000 2.3881 2.3197
2.3881 0.0000 2.3197
0.0000 0.0000 2.3197
```

Properties
volume	106	Å³/cell
DOS at the Fermi energy	4.28	states/eV per cell

Most stable structure, least stable structure: i, ii.

i | AsPCl | PBE-GGA | optimized geometry

Geometry as POSCAR:
```
AsPCl
1.0
10.0638 -1.7572 0.0000
10.0638 1.7572 0.0000
-0.4451 0.0000 5.0907
As P Cl
2 2 2
Cartesian
0.0000 0.0000 0.0000
9.8559 0.0000 3.3172
7.7052 0.0000 2.2578
16.9101 0.0000 3.4849
2.2035 0.0000 0.3525
14.9734 0.0000 2.7635
```

Properties
volume	180	Å³/cell

ii | AsPCl | PBE-GGA | optimized geometry

Geometry as POSCAR:
```
AsPCl
1.0
0.0000 3.1710 3.1710
3.1710 0.0000 3.1710
3.1710 3.1710 0.0000
As P Cl
1 1 1
Cartesian
0.0000 0.0000 0.0000
1.5855 1.5855 1.5855
3.1710 3.1710 3.1710
```

Properties
volume	64	Å³/cell
DOS at the Fermi energy	0.86	states/eV per cell

Most stable structure, least stable structure: i, ii.

i | AsPCl | PBE-GGA | optimized geometry

Geometry as POSCAR:
```
AsPCl
1.0
5.7170 -1.7393 0.0000
5.7170 1.7393 0.0000
-1.8675 0.0000 8.9667
As P Cl
2 2 2
Cartesian
0.0000 0.0000 0.0000
4.5368 0.0000 7.3159
2.3536 0.0000 6.3830
8.1369 0.0000 4.9051
1.9477 0.0000 1.0878
10.0778 0.0000 4.1447
```

Properties
volume	178	Å³/cell
DOS at the Fermi energy	0.00	states/eV per cell

ii | AsPCl | PBE-GGA | optimized geometry

Geometry as POSCAR:
```
AsPCl
1.0
-1.7124 1.7124 6.6141
1.7124 -1.7124 6.6141
1.7124 1.7124 -6.6141
As P Cl
1 1 1
Cartesian
0.0000 0.0000 0.0000
0.0000 0.0000 5.8229
0.0000 0.0000 3.7722
```

Properties
volume	78	Å³/cell
DOS at the Fermi energy	0.93	states/eV per cell

Most stable structure, least stable structure: i, ii.

i | As2PCl | PBE-GGA | optimized geometry

Geometry as POSCAR:
```
As2PCl
1.0
3.3043 0.0000 0.0000
0.0000 3.3043 0.0000
0.0000 0.0000 7.0224
As P Cl
2 1 1
Cartesian
0.0000 0.0000 1.3483
0.0000 0.0000 5.6741
1.6521 1.6521 0.0000
1.6521 1.6521 3.5112
```

Properties
volume	77	Å³/cell
DOS at the Fermi energy	1.59	states/eV per cell

ii | As2PCl | PBE-GGA | optimized geometry

Geometry as POSCAR:
```
As2PCl
1.0
2.7596 -3.8401 0.0000
2.7596 3.8401 0.0000
-2.7433 0.0000 3.8103
As P Cl
2 1 1
Cartesian
1.3798 1.9200 0.0000
1.3798 -1.9200 0.0000
-1.3717 0.0000 1.9051
1.3879 0.0000 1.9051
```

Properties
volume	81	Å³/cell
DOS at the Fermi energy	3.66	states/eV per cell

iii | As2PCl | PBE-GGA | optimized geometry

Geometry as POSCAR:
```
As2PCl
1.0
-1.6435 2.4641 4.8207
1.6435 -2.4641 4.8207
1.6435 2.4641 -4.8207
As P Cl
2 1 1
Cartesian
0.0000 0.0000 1.8829
0.0000 0.0000 7.7585
1.6435 0.0000 0.0000
0.0000 2.4641 0.0000
```

Properties
volume	78	Å³/cell
DOS at the Fermi energy	1.69	states/eV per cell

Most stable structure, least stable structure: i, ii.

i | As2PCl | PBE-GGA | optimized geometry

Geometry as POSCAR:
```
As2PCl
1.0
1.7466 1.0084 7.4834
-1.7466 1.0084 7.4834
0.0000 -2.0168 7.4834
As P Cl
2 1 1
Cartesian
0.0000 0.0000 5.3048
0.0000 0.0000 17.1454
0.0000 0.0000 11.2251
0.0000 0.0000 0.0000
```

Properties
volume	79	Å³/cell
DOS at the Fermi energy	2.14	states/eV per cell

ii | As2PCl | PBE-GGA | optimized geometry

Geometry as POSCAR:
```
As2PCl
1.0
1.6844 0.9725 9.2435
-1.6844 0.9725 9.2435
0.0000 -1.9449 9.2435
As P Cl
2 1 1
Cartesian
0.0000 0.0000 0.0000
0.0000 0.0000 6.3002
0.0000 0.0000 19.8318
0.0000 0.0000 13.6168
```

Properties
volume	91	Å³/cell
DOS at the Fermi energy	2.12	states/eV per cell

iii | As2PCl | PBE-GGA | optimized geometry

Geometry as POSCAR:
```
As2PCl
1.0
3.9225 -1.7973 0.0000
3.9225 1.7973 0.0000
-3.0271 0.0000 6.2549
As P Cl
2 1 1
Cartesian
0.8416 0.0000 2.0999
3.9763 0.0000 4.1550
-1.5135 0.0000 3.1274
3.9225 0.0000 0.0000
```

Properties
volume	88	Å³/cell
DOS at the Fermi energy	2.09	states/eV per cell

iv | As2PCl | PBE-GGA | optimized geometry

Geometry as POSCAR:
```
As2PCl
1.0
-1.7802 1.8922 6.8015
1.7802 -1.8922 6.8015
1.7802 1.8922 -6.8015
As P Cl
2 1 1
Cartesian
0.0000 0.0000 0.0000
0.0000 1.8922 2.0140
1.7802 0.0000 1.8265
0.0000 0.0000 5.3913
```

Properties
volume	92	Å³/cell
DOS at the Fermi energy	0.66	states/eV per cell

Most stable structure, least stable structure: iv, ii.

i | As2PCl | PBE-GGA | optimized geometry

Geometry as POSCAR:
```
As2PCl
1.0
-3.4241 3.4241 4.0454
3.4241 -3.4241 4.0454
3.4241 3.4241 -4.0454
As P Cl
4 2 2
Cartesian
5.1362 1.3676 -1.0113
1.3676 1.7121 1.0113
-1.7121 2.0565 3.0340
2.0565 1.7121 5.0567
0.0000 0.0000 0.0000
0.0000 3.4241 2.0227
3.4241 0.0000 2.0227
0.0000 0.0000 4.0454
```

Properties
volume	190	Å³/cell
DOS at the Fermi energy	6.43	states/eV per cell

ii | As2PCl | PBE-GGA | optimized geometry

Geometry as POSCAR:
```
As2PCl
1.0
4.8898 0.0000 0.0000
0.0000 4.8898 0.0000
0.0000 0.0000 3.0847
As P Cl
2 1 1
Cartesian
0.0000 2.4449 0.0000
2.4449 0.0000 0.0000
0.0000 0.0000 1.5423
2.4449 2.4449 1.5423
```

Properties
volume	74	Å³/cell
DOS at the Fermi energy	1.56	states/eV per cell

Most stable structure, least stable structure: i, ii.